Below is a relaxed structure of Np2In9Hg, with properties calculated at the PBE level.

Geometry as POSCAR:
```
Np2In9Hg
1.0
4.6101 0.0000 0.0000
0.0000 4.6101 0.0000
0.0000 0.0000 14.3831
Np In Hg
2 9 1
direct
0.0000 0.0000 0.1641
0.0000 0.0000 0.8359
0.0000 0.5000 0.0000
0.0000 0.5000 0.3287
0.0000 0.5000 0.6713
0.5000 0.0000 0.0000
0.5000 0.0000 0.3287
0.5000 0.0000 0.6713
0.5000 0.5000 0.1593
0.5000 0.5000 0.5000
0.5000 0.5000 0.8407
0.0000 0.0000 0.5000
```

## Properties
- VASP energy (eV per cell) = -50.34
- E_form (meV per atom) = 41



Below is a relaxed structure of HoBeGa4Cu2, with properties calculated at the PBE level.

Geometry as POSCAR:
```
HoBeGa4Cu2
1.0
2.1001 1.2125 8.4002
-2.1001 1.2125 8.4002
0.0000 -2.4250 8.4002
Ho Be Ga Cu
1 1 4 2
direct
0.0000 0.0000 0.0000
0.5000 0.5000 0.5000
0.1298 0.1298 0.1298
0.4005 0.4005 0.4005
0.5995 0.5995 0.5995
0.8702 0.8702 0.8702
0.2380 0.2380 0.2380
0.7620 0.7620 0.7620
```

## Properties
- VASP energy (eV per cell) = -29.79
- E_form (meV per atom) = -148